# CeAl2Co9

A relaxed CeAl2Co9 crystal (PBE, Alexandria via LeMat-Bulk).

Properties
- space-group type = P4/mbm, No. 127
- energy relative to the elements (eV/atom) = -0.24

Lattice parameters (Å, degrees): 8.116 8.116 4.637 90.00 90.00 90.00
Fractional coordinates of all 24 atoms:
Ce1 0.000 0.000 0.000
Ce2 0.500 0.500 0.000
Al1 0.120 0.380 0.000
Al2 0.380 0.880 0.000
Al3 0.620 0.120 0.000
Al4 0.880 0.620 0.000
Co1 0.000 0.500 0.500
Co2 0.068 0.211 0.500
Co3 0.176 0.676 0.237
Co4 0.176 0.676 0.763
Co5 0.211 0.932 0.500
Co6 0.289 0.432 0.500
Co7 0.324 0.176 0.237
Co8 0.324 0.176 0.763
Co9 0.432 0.711 0.500
Co10 0.500 0.000 0.500
Co11 0.568 0.289 0.500
Co12 0.676 0.824 0.237
Co13 0.676 0.824 0.763
Co14 0.711 0.568 0.500
Co15 0.789 0.068 0.500
Co16 0.824 0.324 0.237
Co17 0.824 0.324 0.763
Co18 0.932 0.789 0.500

# LiBeSe4

A relaxed LiBeSe4 crystal (PBE, Alexandria via LeMat-Bulk).

Properties
- space-group type = F-43m, No. 216
- energy relative to the elements, uncorrected (eV per atom) = 0.51

Lattice parameters (Å, degrees): 5.718 5.718 5.718 60.00 60.00 60.00
Fractional coordinates of all 6 atoms:
Li1 0.000 0.000 0.000
Be1 0.250 0.250 0.250
Se1 0.129 0.624 0.624
Se2 0.624 0.129 0.624
Se3 0.624 0.624 0.129
Se4 0.624 0.624 0.624

# Ho8Er3Pu2

A relaxed Ho8Er3Pu2 crystal (PBE, Alexandria via LeMat-Bulk).

Properties
- space-group type = Cmmm, No. 65
- energy relative to the elements (eV/atom) = 0.29

Lattice parameters (Å, degrees): 10.676 10.676 5.613 90.00 90.00 139.82
Fractional coordinates of all 13 atoms:
Ho1 0.141 0.859 0.000
Ho2 0.169 0.393 0.500
Ho3 0.324 0.676 0.000
Ho4 0.393 0.169 0.500
Ho5 0.607 0.831 0.500
Ho6 0.676 0.324 0.000
Ho7 0.831 0.607 0.500
Ho8 0.859 0.141 0.000
Er1 0.000 0.000 0.500
Er2 0.272 0.272 0.000
Er3 0.728 0.728 0.000
Pu1 0.243 0.757 0.500
Pu2 0.757 0.243 0.500

# V4Ga2Si

A relaxed V4Ga2Si crystal (PBE, Alexandria via LeMat-Bulk).

Properties
- space-group type = Cmmm, No. 65
- energy relative to the elements, uncorrected (eV per atom) = 0.03

Lattice parameters (Å, degrees): 8.814 8.814 2.570 90.00 90.00 149.62
Fractional coordinates of all 7 atoms:
V1 0.074 0.926 0.000
V2 0.368 0.632 0.500
V3 0.632 0.368 0.500
V4 0.926 0.074 0.000
Ga1 0.211 0.789 0.500
Ga2 0.789 0.211 0.500
Si1 0.500 0.500 0.000

# SrAg3Br6

A relaxed SrAg3Br6 crystal (PBE, Alexandria via LeMat-Bulk).

Properties
- space-group type = Cmmm, No. 65
- energy relative to the elements, uncorrected (eV per atom) = -0.80

Lattice parameters (Å, degrees): 8.571 8.571 4.563 90.00 90.00 109.39
Fractional coordinates of all 10 atoms:
Sr1 0.000 0.000 0.000
Ag1 0.000 0.500 0.500
Ag2 0.500 0.000 0.500
Ag3 0.500 0.500 0.000
Br1 0.149 0.851 0.500
Br2 0.177 0.431 0.000
Br3 0.431 0.177 0.000
Br4 0.569 0.823 0.000
Br5 0.823 0.569 0.000
Br6 0.851 0.149 0.500

# Li2LaSc

A relaxed Li2LaSc crystal (PBE, Alexandria via LeMat-Bulk).

Properties
- space-group type = C2/m, No. 12
- relative energy among the computed polymorphs (meV/atom) = 70.0
- energy relative to the elements (eV/atom) = 0.17

Lattice parameters (Å, degrees): 5.702 5.702 5.739 99.83 99.83 34.33
Fractional coordinates of all 4 atoms:
Li1 0.243 0.243 0.217
Li2 0.757 0.757 0.783
La1 0.000 0.000 0.500
Sc1 0.500 0.500 0.000

# Mg14CuSn

A relaxed Mg14CuSn crystal (PBE, Alexandria via LeMat-Bulk).

Properties
- space-group type = Amm2, No. 38
- relative energy among the computed polymorphs (meV/atom) = 5.8
- energy relative to the elements (eV/atom) = 0.00

Lattice parameters (Å, degrees): 10.124 6.337 6.337 59.93 90.00 90.00
Fractional coordinates of all 16 atoms:
Mg1 0.000 0.000 0.000
Mg2 0.000 0.004 0.499
Mg3 0.000 0.499 0.004
Mg4 0.000 0.499 0.499
Mg5 0.247 0.668 0.668
Mg6 0.258 0.163 0.163
Mg7 0.262 0.160 0.675
Mg8 0.262 0.675 0.160
Mg9 0.500 0.494 0.995
Mg10 0.500 0.995 0.494
Mg11 0.738 0.160 0.675
Mg12 0.738 0.675 0.160
Mg13 0.742 0.163 0.163
Mg14 0.753 0.668 0.668
Cu1 0.500 0.010 0.010
Sn1 0.500 0.501 0.501

# AlZn12Ag3

A relaxed AlZn12Ag3 crystal (PBE, Alexandria via LeMat-Bulk).

Properties
- space-group type = P4/mmm, No. 123
- energy relative to the elements (eV/atom) = 0.01

Lattice parameters (Å, degrees): 3.949 3.949 16.000 90.00 90.00 90.00
Fractional coordinates of all 16 atoms:
Al1 0.000 0.000 0.000
Zn1 0.000 0.500 0.121
Zn2 0.000 0.500 0.374
Zn3 0.000 0.500 0.626
Zn4 0.000 0.500 0.879
Zn5 0.500 0.000 0.121
Zn6 0.500 0.000 0.374
Zn7 0.500 0.000 0.626
Zn8 0.500 0.000 0.879
Zn9 0.500 0.500 0.000
Zn10 0.500 0.500 0.249
Zn11 0.500 0.500 0.500
Zn12 0.500 0.500 0.751
Ag1 0.000 0.000 0.249
Ag2 0.000 0.000 0.500
Ag3 0.000 0.000 0.751

Computed electronic total energy (eV per atom) in order:
-6.69 -2.75 -5.78 -6.82 -2.83 -3.60 -1.90 -1.72